## ZrAgCl6 (PBE-GGA)

Data for an optimized crystal structure of ZrAgCl6.

Cell lengths 6.2032, 6.8362, 7.2103 Å; angles 57.74, 63.88, 62.22 degrees
Last column: magnetic moment on the atom in μB.
Positions (direct):
Zr  0.0000  0.0000  0.0000  0.00
Ag  0.5000  0.5000  0.5000  0.27
Cl  0.0961  0.4005  0.7611  0.11
Cl  0.7627  0.1031  0.7341  0.10
Cl  0.6262  0.2072  0.2139  0.04
Cl  0.2373  0.8969  0.2659  0.10
Cl  0.9039  0.5995  0.2389  0.11
Cl  0.3738  0.7928  0.7861  0.04

Computed properties:
* uncorrected formation energy: -1173.8 meV/atom
* crystal system: triclinic
* energy relative to the lowest polymorph listed for this composition: 22.0 meV/atom
* DOS at the Fermi energy: 3.42 states/eV per cell
* M_tot: 0.88 Bohr magnetons per cell